Density functional theory data (PBE) for an optimized crystal structure of Zn7Mo.

It has space group Fm-3m (No. 225), with a = 7.8083 Å, b = 7.8083 Å, c = 7.8083 Å, α = 90.00°, β = 90.00° and γ = 90.00°. The distinct sites, in fractional coordinates, are Zn at (0.0000, 0.0000, 0.0000), Zn at (0.0000, 0.2500, 0.2500) and Mo at (0.0000, 0.0000, 0.5000).

For the formation enthalpy at 0 K, the calculation gives -13.8 meV/atom.

Density functional theory data (PBE) for an optimized crystal structure of SrScSbTe2.

It has space group P4/mmm (No. 123), with a = 5.6187 Å, b = 5.6187 Å, c = 5.4978 Å, α = 90.00°, β = 90.00° and γ = 90.00°. The distinct sites, in fractional coordinates, are Sr at (0.0000, 0.0000, 0.0000), Sc at (0.5000, 0.5000, 0.5000), Sb at (0.5000, 0.5000, 0.0000) and Te at (0.0000, 0.5000, 0.5000).

Its polymorph energy (0 for the lowest one) is 0 meV/atom. Its raw formation energy is -0.772 eV/atom.

Density functional theory data (PBE) for an optimized crystal structure of ErPbF5.

It has space group C2/c (No. 15), with a = 4.3213 Å, b = 15.9454 Å, c = 5.8215 Å, α = 90.00°, β = 93.39° and γ = 90.00°. The distinct sites, in fractional coordinates, are Er at (0.0000, 0.0740, 0.2500), Pb at (0.0000, 0.3241, 0.2500), F at (0.0000, 0.3819, 0.7500), F at (0.0103, 0.1875, 0.0084) and F at (0.2272, 0.0373, 0.5979).

Its raw formation energy is -3.406 eV/atom.

Density functional theory data (PBE) for an optimized crystal structure of KTl2InAs.

It has space group P4/mmm (No. 123), with a = 5.5939 Å, b = 5.5939 Å, c = 6.1242 Å, α = 90.00°, β = 90.00° and γ = 90.00°. The distinct sites, in fractional coordinates, are K at (0.0000, 0.0000, 0.0000), Tl at (0.0000, 0.5000, 0.5000), In at (0.5000, 0.5000, 0.0000) and As at (0.0000, 0.0000, 0.5000).

For the formation enthalpy at 0 K, the calculation gives 196.7 meV/atom.

Density functional theory data (PBE) for an optimized crystal structure of PmZn2SiPd2.

It has space group P4/mmm (No. 123), with a = 4.5751 Å, b = 4.5751 Å, c = 5.6317 Å, α = 90.00°, β = 90.00° and γ = 90.00°. The distinct sites, in fractional coordinates, are Pm at (0.0000, 0.0000, 0.0000), Zn at (0.5000, 0.5000, 0.2303), Si at (0.0000, 0.0000, 0.5000) and Pd at (0.0000, 0.5000, 0.5000).

Its raw formation energy is -0.434 eV/atom.

Density functional theory data (PBE) for an optimized crystal structure of CaTiSeO6.

It has space group P-31c (No. 163), with a = 5.0618 Å, b = 5.0618 Å, c = 10.0785 Å, α = 90.00°, β = 90.00° and γ = 120.00°. The distinct sites, in fractional coordinates, are Ca at (0.0000, 0.0000, 0.0000), Ti at (0.3333, 0.6667, 0.2500), Se at (0.3333, 0.6667, 0.7500) and O at (0.0218, 0.3874, 0.6465).

Its raw formation energy is -2.018 eV/atom.